# 1
CsYOs2 | PBE | relaxed

Cell lengths 7.064, 7.064, 7.064 Å; angles 90.00, 90.00, 90.00 degrees
Space group Fm-3m (No. 225)
One atom of each set of equivalent atoms:
Cs  0.000  0.000  0.000 [4 per cell]
Y  0.000  0.000  0.500 [4 per cell]
Os  0.250  0.250  0.250 [8 per cell]

Computed properties:
VASP energy in eV/cell: -93.03
Crystal system: cubic
Total magnetization in Bohr magnetons per cell: 0.00
Density of states at the Fermi level in states/eV/cell: 16.4

=====

# 2
CsYOs3 | PBE | relaxed

Cell lengths 4.930, 4.930, 4.930 Å; angles 90.00, 90.00, 90.00 degrees
Space group Pm-3m (No. 221)
One atom of each set of equivalent atoms:
Cs  0.000  0.000  0.000 [1 per cell]
Y  0.500  0.500  0.500 [1 per cell]
Os  0.000  0.000  0.500 [3 per cell]

Computed properties:
VASP energy in eV/cell: -25.87
Crystal system: cubic
Total magnetization in Bohr magnetons per cell: 0.00
Density of states at the Fermi level in states/eV/cell: 8.2

=====

# 3
CsZn3Os | PBE | relaxed

Cell lengths 6.841, 6.841, 6.841 Å; angles 90.00, 90.00, 90.00 degrees
Space group Pm-3m (No. 221)
One atom of each set of equivalent atoms:
Cs  0.000  0.000  0.000 [1 per cell]
Zn  0.000  0.000  0.500 [3 per cell]
Os  0.500  0.500  0.500 [1 per cell]

Computed properties:
VASP energy in eV/cell: -5.27
Crystal system: cubic
Total magnetization in Bohr magnetons per cell: 3.01
Density of states at the Fermi level in states/eV/cell: 27.2

=====

# 4
CsZn2Os | PBE | relaxed

Cell lengths 5.800, 5.800, 15.807 Å; angles 90.00, 90.00, 90.00 degrees
Space group I4_1/amd (No. 141, origin choice 2)
One atom of each set of equivalent atoms:
Cs  0.000  0.250  0.375 [4 per cell]
Zn  0.000  0.000  0.000 [8 per cell]
Os  0.000  0.250  0.875 [4 per cell]

Computed properties:
VASP energy in eV/cell: -45.96
Crystal system: tetragonal
Total magnetization in Bohr magnetons per cell: 3.66
Density of states at the Fermi level in states/eV/cell: 12.9

=====

# 5
CsZn3Os | PBE | relaxed

Cell lengths 5.027, 5.027, 5.027 Å; angles 90.00, 90.00, 90.00 degrees
Space group Pm-3m (No. 221)
One atom of each set of equivalent atoms:
Cs  0.000  0.000  0.000 [1 per cell]
Zn  0.000  0.500  0.500 [3 per cell]
Os  0.500  0.500  0.500 [1 per cell]

Computed properties:
VASP energy in eV/cell: -14.21
Crystal system: cubic
Total magnetization in Bohr magnetons per cell: 0.00
Density of states at the Fermi level in states/eV/cell: 2.9

=====

# 6
CsZn2Os | PBE | relaxed

Cell lengths 7.087, 7.087, 7.087 Å; angles 90.00, 90.00, 90.00 degrees
Space group Fm-3m (No. 225)
One atom of each set of equivalent atoms:
Cs  0.000  0.000  0.000 [4 per cell]
Zn  0.250  0.250  0.250 [8 per cell]
Os  0.000  0.000  0.500 [4 per cell]

Computed properties:
VASP energy in eV/cell: -37.02
Crystal system: cubic
Total magnetization in Bohr magnetons per cell: 2.98
Density of states at the Fermi level in states/eV/cell: 21.3